one) The following is a DFT calculation (PBE-GGA) of a relaxed structure of Mg2W.

Values from the calculation:
Its crystal system is orthorhombic. The mass density is 5.222 g/cm³. The calculation puts the total moment at 0.0 Bohr magnetons per cell.

a b c (Å): 7.504 7.543 2.612
angles (deg): 90.00 90.00 90.00
Positions (direct):
Mg (0.246, 0.236, 0.000)
Mg (0.254, 0.736, 0.500)
Mg (0.746, 0.264, 0.500)
Mg (0.754, 0.764, 0.000)
W (0.000, 0.000, 0.500)
W (0.500, 0.500, 0.000)

=====

two) The following is a DFT calculation (PBE-GGA) of a relaxed structure of Mg2W.

Values from the calculation:
Its crystal system is tetragonal. The mass density is 5.998 g/cm³. The calculation puts the total moment at 0.0 Bohr magnetons per cell.

a b c (Å): 5.662 5.662 5.662
angles (deg): 101.13 101.13 127.86
Positions (direct):
Mg (0.171, 0.671, 0.843)
Mg (0.329, 0.171, 0.500)
Mg (0.671, 0.829, 0.500)
Mg (0.829, 0.329, 0.157)
W (0.250, 0.250, 0.000)
W (0.750, 0.750, 0.000)

=====

three) The following is a DFT calculation (PBE-GGA) of a relaxed structure of Mg2W.

Values from the calculation:
Its crystal system is orthorhombic. The mass density is 6.761 g/cm³. The calculation puts the total moment at 0.0 Bohr magnetons per cell.

a b c (Å): 6.607 3.438 10.054
angles (deg): 90.00 90.00 90.00
Positions (direct):
Mg (0.136, 0.250, 0.077)
Mg (0.139, 0.250, 0.756)
Mg (0.361, 0.750, 0.256)
Mg (0.364, 0.750, 0.577)
Mg (0.636, 0.250, 0.423)
Mg (0.639, 0.250, 0.744)
Mg (0.861, 0.750, 0.244)
Mg (0.864, 0.750, 0.923)
W (0.088, 0.250, 0.429)
W (0.412, 0.750, 0.929)
W (0.588, 0.250, 0.071)
W (0.912, 0.750, 0.571)

=====

Stability, lowest: one)

=====

one) The following is a DFT calculation (PBE-GGA) of a relaxed structure of Mg2W.

Values from the calculation:
Its crystal system is tetragonal. The mass density is 6.772 g/cm³. The calculation puts the total moment at 0.0 Bohr magnetons per cell.

a b c (Å): 14.726 14.726 14.726
angles (deg): 169.11 169.11 15.43
Positions (direct):
Mg (0.299, 0.549, 0.750)
Mg (0.451, 0.701, 0.750)
Mg (0.549, 0.299, 0.250)
Mg (0.701, 0.451, 0.250)
W (0.125, 0.875, 0.250)
W (0.875, 0.125, 0.750)

=====

two) The following is a DFT calculation (PBE-GGA) of a relaxed structure of Mg2W.

Values from the calculation:
Its crystal system is hexagonal. The mass density is 7.415 g/cm³. The calculation puts the total moment at 0.0 Bohr magnetons per cell.

a b c (Å): 5.219 5.219 8.826
angles (deg): 90.00 90.00 120.00
Positions (direct):
Mg (0.000, 0.000, 0.000)
Mg (0.000, 0.000, 0.500)
Mg (0.172, 0.344, 0.250)
Mg (0.172, 0.828, 0.250)
Mg (0.344, 0.172, 0.750)
Mg (0.656, 0.828, 0.250)
Mg (0.828, 0.172, 0.750)
Mg (0.828, 0.656, 0.750)
W (0.333, 0.667, 0.547)
W (0.333, 0.667, 0.953)
W (0.667, 0.333, 0.047)
W (0.667, 0.333, 0.453)

=====

three) The following is a DFT calculation (PBE-GGA) of a relaxed structure of Mg2W.

Values from the calculation:
Its crystal system is orthorhombic. The mass density is 6.245 g/cm³. The calculation puts the total moment at 0.0 Bohr magnetons per cell.

a b c (Å): 10.755 10.755 10.755
angles (deg): 165.62 156.40 27.74
Positions (direct):
Mg (0.287, 0.037, 0.250)
Mg (0.429, 0.179, 0.250)
Mg (0.571, 0.821, 0.750)
Mg (0.713, 0.963, 0.750)
W (0.146, 0.396, 0.750)
W (0.854, 0.604, 0.250)

=====

Stability, lowest: three)

=====

one) The following is a DFT calculation (PBE-GGA) of a relaxed structure of Mg2W.

Values from the calculation:
Its crystal system is monoclinic. The mass density is 7.007 g/cm³. The calculation puts the total moment at 0.0 Bohr magnetons per cell.

a b c (Å): 5.758 5.758 7.288
angles (deg): 104.16 104.16 28.11
Positions (direct):
Mg (0.000, 0.000, 0.000)
Mg (0.056, 0.056, 0.623)
Mg (0.396, 0.396, 0.301)
Mg (0.733, 0.733, 0.959)
W (0.321, 0.321, 0.656)
W (0.673, 0.673, 0.344)

=====

two) The following is a DFT calculation (PBE-GGA) of a relaxed structure of Mg2W.

Values from the calculation:
Its crystal system is cubic. The mass density is 5.414 g/cm³. The calculation puts the total moment at 2.1 Bohr magnetons per cell.

a b c (Å): 4.654 4.654 4.654
angles (deg): 60.00 60.00 60.00
Positions (direct):
Mg (0.250, 0.250, 0.250)
Mg (0.750, 0.750, 0.750)
W (0.000, 0.000, 0.000)

=====

Stability, lowest: two)

=====

one) The following is a DFT calculation (PBE-GGA) of a relaxed structure of Mg4W.

Values from the calculation:
Its crystal system is tetragonal. The mass density is 4.350 g/cm³. The calculation puts the total moment at 2.2 Bohr magnetons per cell.

a b c (Å): 7.901 7.901 7.901
angles (deg): 152.17 152.17 39.76
Positions (direct):
Mg (0.090, 0.090, 0.000)
Mg (0.250, 0.750, 0.500)
Mg (0.750, 0.250, 0.500)
Mg (0.910, 0.910, 0.000)
W (0.500, 0.500, 0.000)

=====

two) The following is a DFT calculation (PBE-GGA) of a relaxed structure of Mg4W.

Values from the calculation:
Its crystal system is cubic. The mass density is 3.238 g/cm³. The calculation puts the total moment at 2.1 Bohr magnetons per cell.

a b c (Å): 5.243 5.243 5.243
angles (deg): 90.00 90.00 90.00
Positions (direct):
Mg (0.000, 0.000, 0.000)
Mg (0.000, 0.500, 0.500)
Mg (0.500, 0.000, 0.500)
Mg (0.500, 0.500, 0.000)
W (0.500, 0.500, 0.500)

=====

three) The following is a DFT calculation (PBE-GGA) of a relaxed structure of Mg4W.

Values from the calculation:
Its crystal system is cubic. The mass density is 3.369 g/cm³. The calculation puts the total moment at 3.4 Bohr magnetons per cell.

a b c (Å): 5.646 5.646 5.646
angles (deg): 109.47 109.47 109.47
Positions (direct):
Mg (0.000, 0.000, 0.500)
Mg (0.000, 0.500, 0.000)
Mg (0.500, 0.000, 0.000)
Mg (0.500, 0.500, 0.500)
W (0.000, 0.000, 0.000)

=====

Stability, lowest: two)

=====

one) The following is a DFT calculation (PBE-GGA) of a relaxed structure of Mg3W5.

Values from the calculation:
Its crystal system is monoclinic. The mass density is 11.896 g/cm³. The calculation puts the total moment at 0.0 Bohr magnetons per cell.

a b c (Å): 7.853 7.853 7.551
angles (deg): 95.75 95.75 141.38
Positions (direct):
Mg (0.176, 0.824, 0.000)
Mg (0.271, 0.729, 0.500)
Mg (0.421, 0.421, 0.650)
Mg (0.579, 0.579, 0.350)
Mg (0.729, 0.271, 0.500)
Mg (0.824, 0.176, 0.000)
W (0.019, 0.834, 0.660)
W (0.166, 0.981, 0.340)
W (0.241, 0.241, 0.984)
W (0.263, 0.578, 0.825)
W (0.422, 0.737, 0.175)
W (0.578, 0.263, 0.825)
W (0.737, 0.422, 0.175)
W (0.759, 0.759, 0.016)
W (0.834, 0.019, 0.660)
W (0.981, 0.166, 0.340)

=====

two) The following is a DFT calculation (PBE-GGA) of a relaxed structure of Mg3W5.

Values from the calculation:
Its crystal system is orthorhombic. The mass density is 12.313 g/cm³. The calculation puts the total moment at 0.0 Bohr magnetons per cell.

a b c (Å): 6.324 6.324 3.349
angles (deg): 90.00 90.00 92.76
Positions (direct):
Mg (0.000, 0.000, 0.000)
Mg (0.247, 0.247, 0.500)
Mg (0.753, 0.753, 0.500)
W (0.000, 0.500, 0.000)
W (0.263, 0.737, 0.500)
W (0.500, 0.000, 0.000)
W (0.500, 0.500, 0.000)
W (0.737, 0.263, 0.500)

=====

Stability, lowest: one)

=====

one) The following is a DFT calculation (PBE-GGA) of a relaxed structure of Mg4W3.

Values from the calculation:
Its crystal system is tetragonal. The mass density is 8.202 g/cm³. The calculation puts the total moment at 0.0 Bohr magnetons per cell.

a b c (Å): 13.294 13.294 13.294
angles (deg): 166.32 166.32 19.39
Positions (direct):
Mg (0.072, 0.072, 0.000)
Mg (0.346, 0.346, 0.000)
Mg (0.654, 0.654, 0.000)
Mg (0.928, 0.928, 0.000)
W (0.225, 0.225, 0.000)
W (0.500, 0.500, 0.000)
W (0.775, 0.775, 0.000)

=====

two) The following is a DFT calculation (PBE-GGA) of a relaxed structure of Mg4W3.

Values from the calculation:
Its crystal system is hexagonal. The mass density is 8.139 g/cm³. The calculation puts the total moment at 0.0 Bohr magnetons per cell.

a b c (Å): 5.325 5.325 5.389
angles (deg): 90.00 90.00 120.00
Positions (direct):
Mg (0.000, 0.000, 0.244)
Mg (0.000, 0.000, 0.756)
Mg (0.333, 0.667, 0.500)
Mg (0.667, 0.333, 0.500)
W (0.000, 0.500, 0.000)
W (0.500, 0.000, 0.000)
W (0.500, 0.500, 0.000)

=====

Stability, lowest: one)

=====

one) The following is a DFT calculation (PBE-GGA) of a relaxed structure of Mg5W4.

Values from the calculation:
Its crystal system is hexagonal. The mass density is 8.535 g/cm³. The calculation puts the total moment at 0.0 Bohr magnetons per cell.

a b c (Å): 8.275 8.275 5.622
angles (deg): 90.00 90.00 120.00
Positions (direct):
Mg (0.000, 0.381, 0.250)
Mg (0.000, 0.619, 0.750)
Mg (0.333, 0.667, 0.000)
Mg (0.333, 0.667, 0.500)
Mg (0.381, 0.000, 0.250)
Mg (0.381, 0.381, 0.750)
Mg (0.619, 0.000, 0.750)
Mg (0.619, 0.619, 0.250)
Mg (0.667, 0.333, 0.000)
Mg (0.667, 0.333, 0.500)
W (0.000, 0.000, 0.000)
W (0.000, 0.000, 0.500)
W (0.000, 0.267, 0.750)
W (0.000, 0.733, 0.250)
W (0.267, 0.000, 0.750)
W (0.267, 0.267, 0.250)
W (0.733, 0.000, 0.250)
W (0.733, 0.733, 0.750)

=====

two) The following is a DFT calculation (PBE-GGA) of a relaxed structure of Mg5W4.

Values from the calculation:
Its crystal system is tetragonal. The mass density is 8.708 g/cm³. The calculation puts the total moment at 0.0 Bohr magnetons per cell.

a b c (Å): 7.231 7.231 7.231
angles (deg): 92.98 92.98 153.65
Positions (direct):
Mg (0.000, 0.000, 0.000)
Mg (0.332, 0.332, 0.664)
Mg (0.332, 0.668, 0.000)
Mg (0.668, 0.332, 0.000)
Mg (0.668, 0.668, 0.336)
W (0.000, 0.350, 0.350)
W (0.000, 0.650, 0.650)
W (0.350, 0.000, 0.350)
W (0.650, 0.000, 0.650)

=====

Stability, lowest: one)

=====

one) The following is a DFT calculation (PBE-GGA) of a relaxed structure of Mg5W3.

Values from the calculation:
Its crystal system is hexagonal. The mass density is 7.264 g/cm³. The calculation puts the total moment at 0.0 Bohr magnetons per cell.

a b c (Å): 8.486 8.486 4.936
angles (deg): 90.00 90.00 120.00
Positions (direct):
Mg (0.000, 0.231, 0.250)
Mg (0.000, 0.769, 0.750)
Mg (0.231, 0.000, 0.250)
Mg (0.231, 0.231, 0.750)
Mg (0.333, 0.667, 0.000)
Mg (0.333, 0.667, 0.500)
Mg (0.667, 0.333, 0.000)
Mg (0.667, 0.333, 0.500)
Mg (0.769, 0.000, 0.750)
Mg (0.769, 0.769, 0.250)
W (0.000, 0.427, 0.750)
W (0.000, 0.573, 0.250)
W (0.427, 0.000, 0.750)
W (0.427, 0.427, 0.250)
W (0.573, 0.000, 0.250)
W (0.573, 0.573, 0.750)

=====

two) The following is a DFT calculation (PBE-GGA) of a relaxed structure of Mg5W3.

Values from the calculation:
Its crystal system is triclinic. The mass density is 7.111 g/cm³. The calculation puts the total moment at 0.0 Bohr magnetons per cell.

a b c (Å): 5.140 7.409 8.614
angles (deg): 97.57 94.98 103.11
Positions (direct):
Mg (0.000, 0.000, 0.000)
Mg (0.018, 0.073, 0.675)
Mg (0.181, 0.687, 0.204)
Mg (0.215, 0.447, 0.544)
Mg (0.373, 0.790, 0.865)
Mg (0.396, 0.872, 0.534)
Mg (0.554, 0.214, 0.880)
Mg (0.647, 0.245, 0.493)
Mg (0.760, 0.674, 0.400)
Mg (0.789, 0.604, 0.747)
W (0.080, 0.049, 0.333)
W (0.135, 0.418, 0.939)
W (0.372, 0.337, 0.217)
W (0.582, 0.992, 0.202)
W (0.626, 0.591, 0.056)
W (0.866, 0.322, 0.189)

=====

Stability, lowest: one)

=====

one) The following is a DFT calculation (PBE-GGA) of a relaxed structure of Mg3W4.

Values from the calculation:
Its crystal system is tetragonal. The mass density is 10.603 g/cm³. The calculation puts the total moment at 0.0 Bohr magnetons per cell.

a b c (Å): 11.732 11.732 11.732
angles (deg): 163.74 163.74 23.07
Positions (direct):
Mg (0.000, 0.000, 0.000)
Mg (0.291, 0.291, 0.000)
Mg (0.709, 0.709, 0.000)
W (0.128, 0.128, 0.000)
W (0.423, 0.423, 0.000)
W (0.577, 0.577, 0.000)
W (0.872, 0.872, 0.000)

=====

two) The following is a DFT calculation (PBE-GGA) of a relaxed structure of Mg3W4.

Values from the calculation:
Its crystal system is hexagonal. The mass density is 11.737 g/cm³. The calculation puts the total moment at 0.0 Bohr magnetons per cell.

a b c (Å): 5.086 5.086 5.106
angles (deg): 90.00 90.00 120.00
Positions (direct):
Mg (0.000, 0.500, 0.000)
Mg (0.500, 0.000, 0.000)
Mg (0.500, 0.500, 0.000)
W (0.000, 0.000, 0.258)
W (0.000, 0.000, 0.742)
W (0.333, 0.667, 0.500)
W (0.667, 0.333, 0.500)

=====

Stability, lowest: two)